[1]
{"formula": "Hg2BiRuCl", "functional": "PBE-GGA", "state": "optimized geometry", "lattice_angstrom": [[5.898, 0.000, 0.000], [0.000, 5.380, 0.000], [0.000, 0.000, 5.898]], "species": ["Bi", "Hg", "Hg", "Ru", "Cl"], "fractional_positions": [[0.000, 0.000, 0.000], [0.500, 0.000, 0.000], [0.000, 0.000, 0.500], [0.500, 0.500, 0.500], [0.000, 0.500, 0.000]], "e_form_raw_ev_per_atom": 1.047, "dos_at_fermi_per_ev_cell": 6.39, "e_tot_ev_per_atom": -2.07}

***

[2]
{"formula": "NdMg2SiN4", "functional": "PBE-GGA", "state": "optimized geometry", "lattice_angstrom": [[-2.110, -0.153, -4.963], [0.881, -3.953, -3.185], [-4.968, -1.119, -0.786]], "species": ["N", "N", "N", "N", "Nd", "Mg", "Mg", "Si"], "fractional_positions": [[0.000, 0.831, 0.560], [0.608, 0.560, 0.831], [0.392, 0.169, 0.440], [0.000, 0.440, 0.169], [0.000, 0.000, 0.000], [0.500, 0.750, 0.250], [0.500, 0.250, 0.750], [0.000, 0.500, 0.500]], "e_form_raw_ev_per_atom": -0.868, "dos_at_fermi_per_ev_cell": 5.01, "e_tot_ev_per_atom": -6.70}

***

[3]
{"formula": "ZrZn3Pb", "functional": "PBE-GGA", "state": "optimized geometry", "lattice_angstrom": [[-3.544, 2.755, 2.645], [-3.701, -1.589, -3.304], [-0.941, -4.127, 3.038]], "species": ["Zn", "Zn", "Zn", "Zr", "Pb"], "fractional_positions": [[0.000, 0.500, 0.000], [0.500, 0.000, 0.000], [0.000, 0.000, 0.500], [0.000, 0.000, 0.000], [0.500, 0.500, 0.500]], "de_polymorph_mev_per_atom": 0.0, "ef_ev_per_atom": 0.765, "dos_at_fermi_per_ev_cell": 5.50, "e_tot_ev_per_atom": -2.45}

***

[4]
{"formula": "VNi3As", "functional": "PBE-GGA", "state": "optimized geometry", "lattice_angstrom": [[-3.261, -0.784, -2.683], [-2.063, -2.106, 3.124], [-1.886, 3.660, 1.222]], "species": ["Ni", "Ni", "Ni", "V", "As"], "fractional_positions": [[0.000, 0.000, 0.500], [0.000, 0.500, 0.000], [0.500, 0.000, 0.000], [0.500, 0.500, 0.500], [0.000, 0.000, 0.000]], "de_polymorph_mev_per_atom": 0.0, "ef_ev_per_atom": 0.542, "dos_at_fermi_per_ev_cell": 6.78, "e_tot_ev_per_atom": -5.68}

***

[5]
{"formula": "SiIr2Pb", "functional": "PBE-GGA", "state": "optimized geometry", "lattice_angstrom": [[2.986, 0.000, 0.000], [0.000, 2.986, 0.000], [0.000, 0.000, 7.581]], "species": ["Si", "Ir", "Ir", "Pb"], "fractional_positions": [[0.500, 0.500, 0.750], [0.000, 0.000, 0.566], [0.000, 0.000, 0.934], [0.500, 0.500, 0.250]], "de_polymorph_mev_per_atom": 41.4, "e_form_raw_ev_per_atom": -0.078, "dos_at_fermi_per_ev_cell": 1.03, "e_tot_ev_per_atom": -6.79}

***

[6]
{"formula": "AlGaI3", "functional": "PBE-GGA", "state": "optimized geometry", "lattice_angstrom": [[-3.287, 2.475, 0.669], [-2.963, -9.415, -5.529], [3.176, -5.463, 9.915]], "species": ["Al", "Al", "I", "I", "I", "I", "I", "I", "Ga", "Ga"], "fractional_positions": [[0.045, 0.528, 0.674], [0.911, 0.317, 0.748], [0.420, 0.753, 0.826], [0.582, 0.326, 0.910], [0.374, 0.519, 0.511], [0.536, 0.092, 0.595], [0.239, 0.186, 0.209], [0.718, 0.661, 0.213], [0.690, 0.045, 0.301], [0.265, 0.802, 0.120]], "de_polymorph_mev_per_atom": 0.0, "e_form_raw_ev_per_atom": -0.405, "e_tot_ev_per_atom": -2.69}

***

[7]
{"formula": "Zr2PdO", "functional": "PBE-GGA", "state": "optimized geometry", "lattice_angstrom": [[3.029, 0.000, 0.000], [1.515, 2.623, 0.000], [1.515, 0.874, 8.329]], "species": ["Pd", "Zr", "Zr", "O"], "fractional_positions": [[0.000, 0.000, 0.000], [0.104, 0.104, 0.689], [0.896, 0.896, 0.311], [0.500, 0.500, 0.500]], "e_form_raw_ev_per_atom": -1.050, "dos_at_fermi_per_ev_cell": 1.95, "e_tot_ev_per_atom": -7.86}

***

[8]
{"formula": "BeCuSiOs", "functional": "PBE-GGA", "state": "optimized geometry", "lattice_angstrom": [[4.044, 0.000, 0.000], [2.022, 3.502, 0.000], [2.022, 1.167, 3.302]], "species": ["Be", "Cu", "Os", "Si"], "fractional_positions": [[0.500, 0.500, 0.500], [0.750, 0.750, 0.750], [0.250, 0.250, 0.250], [0.000, 0.000, 0.000]], "e_form_raw_ev_per_atom": -0.104, "dos_at_fermi_per_ev_cell": 2.55, "e_tot_ev_per_atom": -6.22}

***

[9]
{"formula": "La4Tb10Pm", "functional": "PBE-GGA", "state": "optimized geometry", "lattice_angstrom": [[9.826, 0.000, 4.437], [4.913, 6.928, 2.219], [2.062, 0.000, 8.533]], "species": ["Tb", "Tb", "Tb", "Tb", "Tb", "Tb", "Tb", "Tb", "Tb", "Tb", "La", "La", "La", "La", "Pm"], "fractional_positions": [[0.456, 0.677, 0.092], [0.250, 0.500, 0.500], [0.451, 0.092, 0.323], [0.225, 0.323, 0.908], [0.750, 0.500, 0.500], [0.867, 0.908, 0.677], [0.549, 0.908, 0.677], [0.775, 0.677, 0.092], [0.133, 0.092, 0.323], [0.544, 0.323, 0.908], [0.667, 0.270, 0.395], [0.333, 0.730, 0.605], [0.938, 0.395, 0.730], [0.062, 0.605, 0.270], [0.000, 0.000, 0.000]], "ef_ev_per_atom": 0.333, "dos_at_fermi_per_ev_cell": 22.09, "e_tot_ev_per_atom": -4.38}

***

[10]
{"formula": "MgBe4Tc", "functional": "PBE-GGA", "state": "optimized geometry", "lattice_angstrom": [[-3.033, -1.065, 3.099], [-4.352, 0.471, -0.880], [-2.572, -3.610, -0.541]], "species": ["Mg", "Be", "Be", "Be", "Be", "Tc"], "fractional_positions": [[0.750, 0.750, 0.750], [0.885, 0.372, 0.372], [0.372, 0.372, 0.885], [0.372, 0.885, 0.372], [0.372, 0.372, 0.372], [0.000, 0.000, 0.000]], "ef_ev_per_atom": -0.040, "dos_at_fermi_per_ev_cell": 2.79, "e_tot_ev_per_atom": -4.52}

***

[11]
{"formula": "SrCuTc2", "functional": "PBE-GGA", "state": "optimized geometry", "lattice_angstrom": [[-3.063, 0.418, -4.778], [-1.392, -4.504, -3.187], [-0.058, 1.732, 5.420]], "species": ["Cu", "Tc", "Tc", "Sr"], "fractional_positions": [[0.750, 0.250, 0.500], [0.500, 0.500, 0.000], [0.000, 0.000, 0.000], [0.250, 0.750, 0.500]], "de_polymorph_mev_per_atom": 624.4, "ef_ev_per_atom": 0.922, "dos_at_fermi_per_ev_cell": 4.34, "e_tot_ev_per_atom": -5.71}

***

[12]
{"formula": "SrRh3F", "functional": "PBE-GGA", "state": "optimized geometry", "lattice_angstrom": [[4.509, 0.000, 0.000], [0.000, 4.509, 0.000], [0.000, 0.000, 4.509]], "species": ["Rh", "Rh", "Rh", "Sr", "F"], "fractional_positions": [[0.000, 0.500, 0.000], [0.000, 0.000, 0.500], [0.500, 0.000, 0.000], [0.500, 0.500, 0.500], [0.000, 0.000, 0.000]], "de_polymorph_mev_per_atom": 0.0, "e_form_raw_ev_per_atom": 0.269, "dos_at_fermi_per_ev_cell": 4.58, "e_tot_ev_per_atom": -4.85}

***

Total magnetization readings, ordered: 0.68 0.12 0.08 0.58 0.00 0.00 0.00 0.00 0.00 0.00 0.00 0.66 μB/atom